Computed, not measured: crystalline LiTe2WAuS at its relaxed geometry at the GGA-PBE level of DFT.

The structure in POSCAR format:
```
LiTe2WAuS
1.0
1.827 -7.435 0.000
1.827 7.435 0.000
0.000 0.000 9.565
S Li Au Te W
2 2 2 4 2
Direct
0.441 0.559 0.750 S
0.559 0.441 0.250 S
0.711 0.289 0.750 Li
0.289 0.711 0.250 Li
0.938 0.062 0.250 Au
0.062 0.938 0.750 Au
0.854 0.146 0.000 Te
0.146 0.854 0.000 Te
0.146 0.854 0.500 Te
0.854 0.146 0.500 Te
0.500 0.500 0.000 W
0.500 0.500 0.500 W
```

Computed properties:
- spin magnetization (μB/f.u.) = 0.3
- space-group type = No. 63
- VASP energy (eV/f.u.) = -28.4

***

Computed, not measured: crystalline Ac2Ga5Ir3 at its relaxed geometry at the GGA-PBE level of DFT.

The structure in POSCAR format:
```
Ac2Ga5Ir3
1.0
2.846 -7.396 3.865
3.040 7.788 -2.800
-4.497 1.483 7.437
Ga Ac Ir
10 4 6
Direct
0.464 0.250 0.214 Ga
0.596 0.658 0.254 Ga
0.750 0.250 0.500 Ga
0.250 0.750 0.500 Ga
0.404 0.342 0.746 Ga
0.536 0.750 0.786 Ga
0.096 0.842 0.937 Ga
0.904 0.158 0.063 Ga
0.964 0.750 0.214 Ga
0.036 0.250 0.786 Ga
0.865 0.728 0.593 Ac
0.365 0.772 0.137 Ac
0.135 0.272 0.407 Ac
0.635 0.228 0.863 Ac
0.857 0.396 0.253 Ir
0.357 0.104 0.461 Ir
0.250 0.250 0.000 Ir
0.750 0.750 0.000 Ir
0.143 0.604 0.747 Ir
0.643 0.896 0.539 Ir
```

Computed properties:
- spin magnetization (μB/f.u.) = 0.0
- space-group type = No. 72
- VASP energy (eV/f.u.) = -56.8

***

Computed, not measured: crystalline HfSiPd2 at its relaxed geometry at the GGA-PBE level of DFT.

The structure in POSCAR format:
```
HfSiPd2
1.0
0.000 3.175 3.175
3.175 0.000 3.175
3.175 3.175 0.000
Hf Pd Si
1 2 1
Direct
0.250 0.250 0.250 Hf
0.750 0.750 0.750 Pd
0.000 0.000 0.000 Pd
0.500 0.500 0.500 Si
```

Computed properties:
- spin magnetization (μB/f.u.) = 0.0
- space-group type = No. 216
- VASP energy (eV/f.u.) = -27.9

***

Computed, not measured: crystalline BaSmAgTeSe2 at its relaxed geometry at the GGA-PBE level of DFT.

The structure in POSCAR format:
```
BaSmAgTeSe2
1.0
2.177 -7.468 0.000
2.177 7.468 0.000
0.000 0.000 11.389
Ba Se Sm Ag Te
2 4 2 2 2
Direct
0.226 0.774 0.750 Ba
0.774 0.226 0.250 Ba
0.371 0.629 0.439 Se
0.371 0.629 0.061 Se
0.629 0.371 0.939 Se
0.629 0.371 0.561 Se
0.000 0.000 0.000 Sm
0.000 0.000 0.500 Sm
0.523 0.477 0.750 Ag
0.477 0.523 0.250 Ag
0.094 0.906 0.250 Te
0.906 0.094 0.750 Te
```

Computed properties:
- spin magnetization (μB/f.u.) = 0.0
- space-group type = No. 63
- VASP energy (eV/f.u.) = -28.2

***

Computed, not measured: crystalline ZrZnAgPd at its relaxed geometry at the GGA-PBE level of DFT.

The structure in POSCAR format:
```
ZrZnAgPd
1.0
2.829 -3.628 -0.182
-1.025 -3.585 -2.701
2.474 -0.801 -3.799
Zn Zr Pd Ag
1 1 1 1
Direct
0.000 0.000 0.000 Zn
0.750 0.750 0.750 Zr
0.250 0.250 0.250 Pd
0.500 0.500 0.500 Ag
```

Computed properties:
- spin magnetization (μB/f.u.) = 0.0
- offset from the most stable computed form (meV per atom) = 78
- space-group type = No. 216

***

Computed, not measured: crystalline Li2Mg2AlNi2Sn at its relaxed geometry at the GGA-PBE level of DFT.

The structure in POSCAR format:
```
Li2Mg2AlNi2Sn
1.0
4.380 0.000 0.000
0.000 4.380 0.000
0.000 0.000 6.196
Al Mg Ni Li Sn
1 2 2 2 1
Direct
0.000 0.000 0.000 Al
0.000 0.000 0.500 Mg
0.500 0.500 0.000 Mg
0.000 0.500 0.763 Ni
0.500 0.000 0.237 Ni
0.000 0.500 0.242 Li
0.500 0.000 0.758 Li
0.500 0.500 0.500 Sn
```

Computed properties:
- spin magnetization (μB/f.u.) = 0.0
- space-group type = No. 115
- VASP energy (eV/f.u.) = -28.4

***

Computed, not measured: crystalline SmAsIr at its relaxed geometry at the GGA-PBE level of DFT.

The structure in POSCAR format:
```
SmAsIr
1.0
0.000 3.318 3.318
3.318 0.000 3.318
3.318 3.318 0.000
As Ir Sm
1 1 1
Direct
0.250 0.250 0.250 As
0.750 0.750 0.750 Ir
0.000 0.000 0.000 Sm
```

Computed properties:
- spin magnetization (μB/f.u.) = 0.0
- space-group type = No. 216
- VASP energy (eV/f.u.) = -18.0

***

Computed, not measured: crystalline SnIrW at its relaxed geometry at the GGA-PBE level of DFT.

The structure in POSCAR format:
```
SnIrW
1.0
-2.323 -2.923 -2.255
-3.554 1.261 -2.191
0.040 0.078 -4.361
Ir W Sn
1 1 1
Direct
0.000 0.000 0.000 Ir
0.750 0.750 0.750 W
0.250 0.250 0.250 Sn
```

Computed properties:
- spin magnetization (μB/f.u.) = 0.5
- offset from the most stable computed form (meV per atom) = 0
- space-group type = No. 216

***

Computed, not measured: crystalline Lu4SiBiC2 at its relaxed geometry at the GGA-PBE level of DFT.

The structure in POSCAR format:
```
Lu4SiBiC2
1.0
-1.957 -0.551 2.909
3.462 -0.781 0.017
3.059 13.656 4.645
C Lu Bi Si
2 4 1 1
Direct
0.333 0.667 0.741 C
0.333 0.667 0.259 C
0.000 0.000 0.352 Lu
0.000 0.000 0.648 Lu
0.667 0.333 0.177 Lu
0.667 0.333 0.823 Lu
0.000 0.000 0.000 Bi
0.667 0.333 0.500 Si
```

Computed properties:
- spin magnetization (μB/f.u.) = 0.0
- space-group type = No. 187
- VASP energy (eV/f.u.) = -50.4

***

Computed, not measured: crystalline Ho4CIBr4 at its relaxed geometry at the GGA-PBE level of DFT.

The structure in POSCAR format:
```
Ho4CIBr4
1.0
8.842 -1.920 0.000
8.842 1.920 0.000
-1.975 0.000 8.204
Ho Br I C
4 4 1 1
Direct
0.001 0.001 0.809 Ho
0.361 0.361 0.929 Ho
0.999 0.999 0.191 Ho
0.639 0.639 0.071 Ho
0.170 0.170 0.839 Br
0.830 0.830 0.161 Br
0.834 0.834 0.673 Br
0.166 0.166 0.327 Br
0.500 0.500 0.500 I
0.500 0.500 0.000 C
```

Computed properties:
- spin magnetization (μB/f.u.) = 0.3
- space-group type = No. 12
- VASP energy (eV/f.u.) = -49.3

***

Computed, not measured: crystalline Tb2ErTl3AgPd2 at its relaxed geometry at the GGA-PBE level of DFT.

The structure in POSCAR format:
```
Tb2ErTl3AgPd2
1.0
3.767 0.000 0.000
0.000 6.864 3.966
0.000 -6.864 3.966
Pd Tl Ag Er Tb
2 3 1 1 2
Direct
0.500 0.665 0.334 Pd
0.500 0.334 0.665 Pd
0.500 0.726 0.726 Tl
0.500 0.000 0.274 Tl
0.500 0.274 0.000 Tl
0.000 0.001 0.001 Ag
0.000 0.407 0.407 Er
0.000 0.594 0.000 Tb
0.000 0.000 0.594 Tb
```

Computed properties:
- spin magnetization (μB/f.u.) = 0.0
- space-group type = No. 38
- VASP energy (eV/f.u.) = -39.0

***

Computed, not measured: crystalline IrBr2 at its relaxed geometry at the GGA-PBE level of DFT.

The structure in POSCAR format:
```
IrBr2
1.0
4.798 -5.809 2.405
5.819 1.546 5.127
-0.455 -2.685 7.425
Br Ir
4 2
Direct
0.375 0.375 0.375 Br
0.375 0.375 0.875 Br
0.875 0.375 0.375 Br
0.375 0.875 0.375 Br
0.500 0.500 0.500 Ir
0.250 0.250 0.250 Ir
```

Computed properties:
- spin magnetization (μB/f.u.) = 0.4
- space-group type = No. 227
- VASP energy (eV/f.u.) = -10.6